KBaCdBi | PBE-GGA | relaxed

Summary:
* formation enthalpy at 0 K: -0.4984 eV per atom
* energy: -2.45 eV/atom
* theoretical density: 5.36 Mg/m³

Lattice parameters (Å, degrees): 8.513 8.513 8.513 90.00 90.00 90.00
Space group F-43m (No. 216)
Unique sites:
1 K 0.000 0.000 0.000 x4
2 Ba 0.000 0.000 0.500 x4
3 Cd 0.250 0.250 0.250 x4
4 Bi 0.250 0.250 0.750 x4



Ba2Li4CdBi3 | PBE-GGA | relaxed

Summary:
* formation enthalpy at 0 K: -0.6217 eV per atom
* energy: -3.03 eV/atom
* theoretical density: 6.08 Mg/m³

Lattice parameters (Å, degrees): 4.879 4.879 11.962 90.00 90.00 90.00
Space group P-4m2 (No. 115)
Unique sites:
1 Ba 0.000 0.500 0.235 x2
2 Li 0.000 0.000 0.000 x1
3 Li 0.000 0.500 0.632 x2
4 Li 0.500 0.500 0.000 x1
5 Cd 0.000 0.000 0.500 x1
6 Bi 0.000 0.500 0.865 x2
7 Bi 0.500 0.500 0.500 x1



Which of these has the highest theoretical density? Ba2Li4CdBi3